This record from the Alexandria database describes a relaxed structure of BaNaDyWO6. The functional is GGA+U.

Cell: 5.9421 5.9421 5.9421 Å, 60.00 60.00 60.00°
Atoms (fractional coordinates):
Ba 0.0000 0.0000 0.0000
Na 0.5000 0.5000 0.5000
Dy 0.2500 0.2500 0.2500
W 0.7500 0.7500 0.7500
O 0.5172 0.5172 0.9828
O 0.5172 0.9828 0.5172
O 0.5172 0.9828 0.9828
O 0.9828 0.5172 0.5172
O 0.9828 0.5172 0.9828
O 0.9828 0.9828 0.5172

Results
The value obtained for the raw total energy is -71.233 eV for the cell shown. The space group is No. 216.